(1)
First-principles (PBE-GGA) data for an optimized crystal structure of KTl3CdIn, as listed in the Alexandria database.

Results
- total DFT energy (no corrections) (eV per atom) = -2.03

abc: 4.9256 8.8542 9.2242
angles: 90.00 90.00 106.15
With the nearest neighbours (Å) after each atom.
Fractional positions:
K 0.8100 0.6199 0.7500  8 Tl 3.63-3.81, 2 Cd 3.90, 2 In 3.97
K 0.1900 0.3801 0.2500  8 Tl 3.63-3.81, 2 Cd 3.90, 2 In 3.97
Tl 0.6263 0.2526 0.5136  2 Cd 3.11-3.21, 2 In 3.27, 2 Tl 3.31
Tl 0.3737 0.7474 0.4864  2 Cd 3.11-3.21, 2 In 3.27, 2 Tl 3.31
Tl 0.3737 0.7474 0.0136  2 Cd 3.11-3.21, 2 In 3.27, 2 Tl 3.31
Tl 0.6263 0.2526 0.9864  2 Cd 3.11-3.21, 2 In 3.27, 2 Tl 3.31
Tl 0.1484 0.2969 0.7500  4 Tl 3.31, 2 In 3.42, 2 Cd 3.68, 2 K 3.69
Tl 0.8516 0.7031 0.2500  4 Tl 3.31, 2 In 3.42, 2 Cd 3.68, 2 K 3.69
Cd 0.4879 0.9758 0.7500  4 Tl 3.11-3.21, 4 In 3.38
Cd 0.5121 0.0242 0.2500  4 Tl 3.11-3.21, 4 In 3.38
In 0.0000 0.0000 0.5000  6 Tl 3.27-3.42, 4 Cd 3.38
In 0.0000 0.0000 0.0000  6 Tl 3.27-3.42, 4 Cd 3.38

(2)
First-principles (PBE-GGA) data for an optimized crystal structure of KTlCd2In, as listed in the Alexandria database.

Results
- total DFT energy (no corrections) (eV per atom) = -1.67

abc: 4.8911 4.8585 7.3889
angles: 109.19 109.33 90.00
With the nearest neighbours (Å) after each atom.
Fractional positions:
K 0.4442 0.4442 0.8884  4 Tl 3.74, 8 Cd 3.76-4.15, 4 In 4.03-4.13
Tl 0.8326 0.8326 0.6652  3 Cd 2.96-3.08, 2 In 3.08
Cd 0.6875 0.1875 0.3751  2 Cd 2.97, 2 Tl 3.08
Cd 0.0588 0.0588 0.1176  1 Tl 2.96, 2 In 2.97, 2 Cd 2.97
In 0.1890 0.6890 0.3780  2 Cd 2.97, 2 Tl 3.08

(3)
First-principles (PBE-GGA) data for an optimized crystal structure of K2Tl3CdIn4, as listed in the Alexandria database.

Results
- total DFT energy (no corrections) (eV per atom) = -2.18

abc: 5.0717 5.0717 12.7921
angles: 90.00 90.00 90.00
With the nearest neighbours (Å) after each atom.
Fractional positions:
K 0.5000 0.0000 0.2531  6 Tl 3.87-4.05, 8 In 3.89-4.11, 2 Cd 4.05
K 0.0000 0.5000 0.7469  6 Tl 3.87-4.05, 8 In 3.89-4.11, 2 Cd 4.05
Tl 0.0000 0.0000 0.5000  4 In 3.03
Tl 0.5000 0.0000 0.8603  5 In 2.96-3.10
Tl 0.0000 0.5000 0.1397  5 In 2.96-3.10
Cd 0.5000 0.5000 0.5000  4 In 3.03
In 0.5000 0.5000 0.0000  4 Tl 3.10
In 0.0000 0.0000 0.0000  4 Tl 3.10
In 0.5000 0.0000 0.6291  3 Tl 2.96-3.03, 2 Cd 3.03
In 0.0000 0.5000 0.3709  3 Tl 2.96-3.03, 2 Cd 3.03

(4)
First-principles (PBE-GGA) data for an optimized crystal structure of K2TlCdIn6, as listed in the Alexandria database.

Results
- total DFT energy (no corrections) (eV per atom) = -2.22

abc: 6.7626 6.7626 16.7855
angles: 78.38 78.38 60.00
With the nearest neighbours (Å) after each atom.
Fractional positions:
K 0.8527 0.8527 0.4419  12 In 3.66-4.01, 3 Cd 4.02
K 0.1473 0.1473 0.5581  12 In 3.66-4.01, 3 Cd 4.02
K 0.7098 0.7098 0.8705  1 Tl 3.41, 6 In 3.71
K 0.2902 0.2902 0.1295  1 Tl 3.41, 6 In 3.71
Tl 0.6402 0.6402 0.0795  3 In 3.15, 1 K 3.41
Tl 0.3598 0.3598 0.9205  3 In 3.15, 1 K 3.41
Cd 0.0000 0.0000 0.0000  6 In 4.05, 6 Tl 4.11, 6 K 4.44
Cd 0.5000 0.5000 0.5000  6 In 3.12
In 0.9018 0.3707 0.3568  4 In 3.03-3.17, 1 Cd 3.12
In 0.3707 0.9018 0.3568  4 In 3.03-3.17, 1 Cd 3.12
In 0.3707 0.3707 0.3568  4 In 3.03-3.17, 1 Cd 3.12
In 0.0982 0.6293 0.6432  4 In 3.03-3.17, 1 Cd 3.12
In 0.6293 0.0982 0.6432  4 In 3.03-3.17, 1 Cd 3.12
In 0.6293 0.6293 0.6432  4 In 3.03-3.17, 1 Cd 3.12
In 0.7681 0.2271 0.7777  4 In 3.03-3.10, 1 Tl 3.15
In 0.2271 0.7681 0.7777  4 In 3.03-3.10, 1 Tl 3.15
In 0.2271 0.2271 0.7777  4 In 3.03-3.10, 1 Tl 3.15
In 0.2319 0.7729 0.2223  4 In 3.03-3.10, 1 Tl 3.15
In 0.7729 0.2319 0.2223  4 In 3.03-3.10, 1 Tl 3.15
In 0.7729 0.7729 0.2223  4 In 3.03-3.10, 1 Tl 3.15

How do the records compare in energy relative to the elements? In the order shown, they have -0.052, -0.066, -0.065, -0.028 eV/atom.
How do the records compare in density? In the order shown, they have 7.56, 6.23, 6.37, 5.57 g cm⁻³.